The following is a PBE-GGA calculation of a relaxed structure of Na2LaOsO6, from Alexandria via LeMat-Bulk.

Cell: 5.726 5.908 8.235 Å, 90.00 90.41 90.00°
Atoms (fractional coordinates):
Na: 0.491 0.459 0.246
Na: 0.009 0.959 0.254
Na: 0.991 0.041 0.746
Na: 0.509 0.541 0.754
Os: 0.500 0.000 0.500
Os: 0.000 0.500 0.000
La: 0.500 0.000 0.000
La: 0.000 0.500 0.500
O: 0.726 0.328 0.955
O: 0.402 0.958 0.719
O: 0.598 0.042 0.281
O: 0.274 0.672 0.045
O: 0.337 0.731 0.440
O: 0.098 0.458 0.781
O: 0.774 0.828 0.545
O: 0.163 0.231 0.060
O: 0.837 0.769 0.940
O: 0.902 0.542 0.219
O: 0.226 0.172 0.455
O: 0.663 0.269 0.560

Output
E_tot ... -6.693 eV/atom
DOS at the Fermi energy ... 8.337 states/eV/cell
M_tot ... 0.59 μB/cell
Energy relative to the elements, uncorrected ... -1.84 eV/atom
Volume ... 279 Å³/cell



The following is a PBE-GGA calculation of a relaxed structure of NaLaPO2, from Alexandria via LeMat-Bulk.

Cell: 4.309 4.309 4.532 Å, 90.00 90.00 90.00°
Atoms (fractional coordinates):
P: 0.000 0.000 0.500
O: 0.500 0.000 0.000
O: 0.000 0.500 0.000
Na: 0.000 0.000 0.000
La: 0.500 0.500 0.500

Output
E_tot ... -4.881 eV/atom
DOS at the Fermi energy ... 4.522 states/eV/cell
M_tot ... 0.57 μB/cell
Energy relative to the elements, uncorrected ... -0.57 eV/atom
Volume ... 84 Å³/cell
Excess energy over the best structure of this formula in the dataset ... 40.5 kJ/mol of atoms



The following is a PBE-GGA calculation of a relaxed structure of Na3LaP2O8, from Alexandria via LeMat-Bulk.

Cell: 5.416 14.204 18.949 Å, 90.00 90.00 90.00°
Atoms (fractional coordinates):
O: 0.767 0.509 0.739
O: 0.742 0.261 0.381
O: 0.483 0.128 0.274
O: 0.892 0.617 0.504
O: 0.401 0.367 0.616
O: 0.207 0.278 0.388
O: 0.087 0.557 0.973
O: 0.996 0.235 0.769
O: 0.691 0.033 0.503
O: 0.586 0.806 0.148
O: 0.184 0.719 0.124
O: 0.108 0.117 0.504
O: 0.004 0.735 0.769
O: 0.526 0.987 0.354
O: 0.024 0.123 0.348
O: 0.586 0.694 0.648
O: 0.517 0.628 0.274
O: 0.698 0.029 0.737
O: 0.793 0.778 0.388
O: 0.302 0.529 0.737
O: 0.599 0.633 0.116
O: 0.087 0.943 0.473
O: 0.996 0.265 0.269
O: 0.483 0.372 0.774
O: 0.767 0.991 0.239
O: 0.233 0.009 0.739
O: 0.526 0.250 0.023
O: 0.976 0.623 0.348
O: 0.309 0.967 0.003
O: 0.793 0.722 0.888
O: 0.474 0.750 0.523
O: 0.414 0.194 0.648
O: 0.024 0.377 0.848
O: 0.401 0.133 0.116
O: 0.698 0.471 0.237
O: 0.599 0.867 0.616
O: 0.913 0.443 0.473
O: 0.309 0.533 0.503
O: 0.526 0.250 0.523
O: 0.913 0.057 0.973
O: 0.691 0.467 0.003
O: 0.258 0.761 0.381
O: 0.892 0.883 0.004
O: 0.991 0.501 0.600
O: 0.009 0.499 0.100
O: 0.816 0.281 0.624
O: 0.517 0.872 0.774
O: 0.258 0.739 0.881
O: 0.414 0.306 0.148
O: 0.184 0.781 0.624
O: 0.108 0.383 0.004
O: 0.474 0.487 0.354
O: 0.816 0.219 0.124
O: 0.474 0.750 0.023
O: 0.976 0.877 0.848
O: 0.474 0.013 0.854
O: 0.991 0.999 0.100
O: 0.233 0.491 0.239
O: 0.004 0.765 0.269
O: 0.009 0.001 0.600
O: 0.207 0.222 0.888
O: 0.742 0.239 0.881
O: 0.526 0.513 0.854
O: 0.302 0.971 0.237
Na: 0.467 0.469 0.112
Na: 0.009 0.781 0.508
Na: 0.518 0.297 0.270
Na: 0.518 0.203 0.770
Na: 0.009 0.365 0.172
Na: 0.533 0.531 0.612
Na: 0.008 0.454 0.352
Na: 0.991 0.219 0.008
Na: 0.009 0.719 0.008
Na: 0.504 0.386 0.451
Na: 0.992 0.546 0.852
Na: 0.533 0.969 0.112
Na: 0.496 0.614 0.951
Na: 0.992 0.954 0.352
Na: 0.467 0.031 0.612
Na: 0.496 0.886 0.451
Na: 0.991 0.281 0.508
Na: 0.009 0.135 0.672
Na: 0.482 0.797 0.270
Na: 0.504 0.114 0.951
Na: 0.008 0.046 0.852
Na: 0.991 0.635 0.672
Na: 0.991 0.865 0.172
Na: 0.482 0.703 0.770
P: 0.990 0.269 0.847
P: 0.026 0.522 0.519
P: 0.522 0.019 0.276
P: 0.478 0.981 0.776
P: 0.536 0.229 0.103
P: 0.464 0.729 0.103
P: 0.974 0.478 0.019
P: 0.522 0.481 0.776
P: 0.974 0.022 0.519
P: 0.010 0.769 0.847
P: 0.990 0.231 0.347
P: 0.478 0.519 0.276
P: 0.010 0.731 0.347
P: 0.464 0.771 0.603
P: 0.026 0.978 0.019
P: 0.536 0.271 0.603
La: 0.061 0.385 0.698
La: 0.939 0.885 0.698
La: 0.061 0.115 0.198
La: 0.456 0.136 0.425
La: 0.544 0.636 0.425
La: 0.939 0.615 0.198
La: 0.456 0.364 0.925
La: 0.544 0.864 0.925

Output
E_tot ... -6.803 eV/atom
DOS at the Fermi energy ... 0.000 states/eV/cell
M_tot ... 0.00 μB/cell
Energy relative to the elements, uncorrected ... -2.56 eV/atom
Volume ... 1458 Å³/cell



Which of these has the highest volume? Na3LaP2O8



Which value of energy relative to the elements, uncorrected does entry 3 give? -2.56 eV/atom



Look up the energy relative to the elements, uncorrected of the third one. -2.56 eV/atom



Which value of M_tot does entry 2 give? 0.57 μB/cell